Material: Sr2Si3Au9
Method: DFT, PBE-GGA
State: relaxed

Calculated values
The calculation puts the magnetic moment at 0.00 μB/atom. As for the theoretical density: 12.02 g cm⁻³. Its energy relative to the elements, uncorrected is -0.33 eV per atom. As for the volume: 20.052 Å³ per atom.

CIF file:
```
data_Sr2Si3Au9
_cell_length_a 15.1049
_cell_length_b 7.6234
_cell_length_c 11.1223
_cell_angle_alpha 90.00
_cell_angle_beta 118.74
_cell_angle_gamma 90.00
_symmetry_space_group_name_H-M 'C 1 2/c 1'
_symmetry_Int_Tables_number 15
_symmetry_space_group_name_Hall '-C 2yc'
loop_
_atom_site_label
_atom_site_fract_x
_atom_site_fract_y
_atom_site_fract_z
Sr1 0.1703 0.1048 0.2361
Si1 0.0879 0.2358 0.5031
Si2 0.2500 0.2500 0.0000
Au1 0.0000 0.3376 0.2500
Au2 0.0465 0.0730 0.9064
Au3 0.0936 0.4322 0.0014
Au4 0.1156 0.3181 0.7426
Au5 0.2480 0.4210 0.4479
```

---

Material: Ba6PtBr
Method: DFT, PBE-GGA
State: relaxed

Calculated values
The calculation puts the magnetic moment at 0.00 μB/atom. As for the theoretical density: 4.24 g cm⁻³. Its energy relative to the elements, uncorrected is -0.64 eV per atom. As for the volume: 53.852 Å³ per atom.

CIF file:
```
data_Ba6PtBr
_cell_length_a 8.0662
_cell_length_b 8.0662
_cell_length_c 15.2918
_cell_angle_alpha 90.00
_cell_angle_beta 90.00
_cell_angle_gamma 120.00
_symmetry_space_group_name_H-M 'P -3 1 c'
_symmetry_Int_Tables_number 163
_symmetry_space_group_name_Hall '-P 3 2c'
loop_
_atom_site_label
_atom_site_fract_x
_atom_site_fract_y
_atom_site_fract_z
Ba1 0.0086 0.3240 0.1181
Pt1 0.0000 0.0000 0.0000
Br1 0.3333 0.6667 0.7500
```